[1]
Entry from the Alexandria database: crystalline Ag2SnGeOs at its relaxed geometry (GGA-PBEsol).

Size of the total moment (Bohr magnetons per cell): 1.1
Calculated total energy (eV/atom): -4.113
Space-group type: P4/mmm

Geometry as POSCAR:
```
Ag2SnGeOs
1.0
4.951 0.000 0.000
0.000 4.964 0.000
0.000 0.000 4.964
Os Sn Ag Ge
1 1 2 1
direct
0.500 0.000 0.000
0.000 0.000 0.000
0.000 0.000 0.500
0.000 0.500 0.000
0.500 0.500 0.500
```

[2]
Entry from the Alexandria database: crystalline AgGe3P at its relaxed geometry (GGA-PBEsol).

Size of the total moment (Bohr magnetons per cell): 0.0
Calculated total energy (eV/atom): -4.110
Space-group type: Pm-3m

Geometry as POSCAR:
```
AgGe3P
1.0
4.645 0.000 0.000
0.000 4.645 0.000
0.000 0.000 4.645
Ge P Ag
3 1 1
direct
0.000 0.000 0.500
0.500 0.000 0.000
0.000 0.500 0.000
0.000 0.000 0.000
0.500 0.500 0.500
```

[3]
Entry from the Alexandria database: crystalline Ag3Sn2Ge3P6 at its relaxed geometry (GGA-PBEsol).

Size of the total moment (Bohr magnetons per cell): 0.0
Calculated total energy (eV/atom): -4.908
Space-group type: I-43m

Geometry as POSCAR:
```
Ag3Sn2Ge3P6
1.0
-6.527 6.163 -0.889
-1.942 -7.192 -5.087
0.611 -2.508 8.644
Ag Ge Sn P
6 6 4 12
direct
0.805 0.805 0.000
0.000 0.805 0.805
0.195 0.000 0.195
0.805 0.000 0.805
0.195 0.195 0.000
0.000 0.195 0.195
0.750 0.250 0.500
0.250 0.750 0.500
0.500 0.250 0.750
0.500 0.750 0.250
0.750 0.500 0.250
0.250 0.500 0.750
0.000 0.000 0.593
0.407 0.407 0.407
0.593 0.000 0.000
0.000 0.593 0.000
0.237 0.487 0.000
0.487 0.237 0.000
0.237 0.000 0.487
0.000 0.487 0.237
0.487 0.000 0.237
0.763 0.250 0.763
0.763 0.763 0.250
0.513 0.513 0.750
0.513 0.750 0.513
0.750 0.513 0.513
0.250 0.763 0.763
0.000 0.237 0.487
```

[4]
Entry from the Alexandria database: crystalline AgGePb2 at its relaxed geometry (GGA-PBEsol).

Size of the total moment (Bohr magnetons per cell): 0.0
Calculated total energy (eV/atom): -3.851
Space-group type: Fm-3m

Geometry as POSCAR:
```
AgGePb2
1.0
5.113 0.000 0.000
2.557 4.428 0.000
2.557 1.476 4.175
Pb Ge Ag
2 1 1
direct
0.750 0.750 0.750
0.250 0.250 0.250
0.000 0.000 0.000
0.500 0.500 0.500
```

[5]
Entry from the Alexandria database: crystalline TaAgGePd2 at its relaxed geometry (GGA-PBEsol).

Size of the total moment (Bohr magnetons per cell): 0.0
Calculated total energy (eV/atom): -5.067
Space-group type: P4/mmm

Geometry as POSCAR:
```
TaAgGePd2
1.0
4.753 0.000 0.000
0.000 4.753 0.000
0.000 0.000 4.780
Ta Ge Pd Ag
1 1 2 1
direct
0.000 0.000 0.500
0.500 0.500 0.500
0.500 0.000 0.000
0.000 0.500 0.000
0.000 0.000 0.000
```

[6]
Entry from the Alexandria database: crystalline Pm2AgGe at its relaxed geometry (GGA-PBEsol).

Size of the total moment (Bohr magnetons per cell): 0.0
Calculated total energy (eV/atom): -5.172
Space-group type: Fm-3m

Geometry as POSCAR:
```
Pm2AgGe
1.0
-2.355 -3.690 -2.656
1.976 -1.619 -4.438
2.097 -4.660 -0.320
Pm Ag Ge
2 1 1
direct
0.250 0.250 0.250
0.750 0.750 0.750
0.500 0.500 0.500
0.000 0.000 0.000
```

[7]
Entry from the Alexandria database: crystalline PrAg2Ge2 at its relaxed geometry (GGA-PBEsol).

Size of the total moment (Bohr magnetons per cell): 0.0
Calculated total energy (eV/atom): -4.827
Space-group type: I4/mmm

Geometry as POSCAR:
```
PrAg2Ge2
1.0
4.253 0.000 0.000
0.000 4.253 0.000
-2.127 -2.127 5.461
Ge Ag Pr
2 2 1
direct
0.611 0.611 0.223
0.389 0.389 0.777
0.750 0.250 0.500
0.250 0.750 0.500
0.000 0.000 0.000
```

[8]
Entry from the Alexandria database: crystalline PrAgGe at its relaxed geometry (GGA-PBEsol).

Size of the total moment (Bohr magnetons per cell): 0.0
Calculated total energy (eV/atom): -5.125
Space-group type: P6_3mc

Geometry as POSCAR:
```
PrAgGe
1.0
4.509 0.000 0.000
-2.254 3.905 0.000
0.000 0.000 7.571
Pr Ag Ge
2 2 2
direct
0.000 0.000 0.741
0.000 0.000 0.241
0.333 0.667 0.014
0.667 0.333 0.514
0.667 0.333 0.954
0.333 0.667 0.454
```